No. 1
# Sm2MgNi3As4, relaxed, DFT GGA-PBE
# Density of states at the Fermi level, states/eV/cell: 4.644
# Energy of formation from the pure elements, eV/atom: -0.777
data_Sm2MgNi3As4
_symmetry_space_group_name_H-M 'P -4 m 2'
_symmetry_Int_Tables_number 115
_cell_length_a 4.206
_cell_length_b 4.206
_cell_length_c 10.037
_cell_angle_alpha 90.00
_cell_angle_beta 90.00
_cell_angle_gamma 90.00
loop_
_symmetry_equiv_pos_as_xyz
'x,y,z'
'y,-x,-z'
'-x,-y,z'
'-y,x,-z'
'-x,y,z'
'-y,-x,-z'
'x,-y,z'
'y,x,-z'
loop_
_atom_site_label
_atom_site_type_symbol
_atom_site_fract_x
_atom_site_fract_y
_atom_site_fract_z
Sm1 Sm 0.000 0.500 0.234
Mg1 Mg 0.000 0.000 0.500
Ni1 Ni 0.000 0.500 0.887
Ni2 Ni 0.500 0.500 0.500
As1 As 0.000 0.000 0.000
As2 As 0.000 0.500 0.650
As3 As 0.500 0.500 0.000



No. 2
# Mg3Ni9SnAs2, relaxed, DFT GGA-PBE
# Density of states at the Fermi level, states/eV/cell: 9.937
# Energy of formation from the pure elements, eV/atom: 0.007
data_Mg3Ni9SnAs2
_symmetry_space_group_name_H-M 'P -3 m 1'
_symmetry_Int_Tables_number 164
_symmetry_space_group_name_Hall '-P 3 2"'
_cell_length_a 5.9120
_cell_length_b 5.9120
_cell_length_c 8.7165
_cell_angle_alpha 90.00
_cell_angle_beta 90.00
_cell_angle_gamma 120.00
loop_
_atom_site_label
_atom_site_type_symbol
_atom_site_fract_x
_atom_site_fract_y
_atom_site_fract_z
Mg1 Mg 0.0000 0.0000 0.0000
Mg2 Mg 0.3333 0.6667 0.7516
Ni1 Ni 0.0000 0.5000 0.0000
Ni2 Ni 0.1327 0.2653 0.2555
Sn1 Sn 0.0000 0.0000 0.5000
As1 As 0.3333 0.6667 0.1776



No. 3
# Th2MgNi4As3, relaxed, DFT GGA-PBE
# Density of states at the Fermi level, states/eV/cell: 3.777
# Energy of formation from the pure elements, eV/atom: -0.768
data_Th2MgNi4As3
_symmetry_space_group_name_H-M 'P -4 m 2'
_symmetry_Int_Tables_number 115
_cell_length_a 4.083
_cell_length_b 4.083
_cell_length_c 10.271
_cell_angle_alpha 90.00
_cell_angle_beta 90.00
_cell_angle_gamma 90.00
loop_
_symmetry_equiv_pos_as_xyz
'x,y,z'
'y,-x,-z'
'-x,-y,z'
'-y,x,-z'
'-x,y,z'
'-y,-x,-z'
'x,-y,z'
'y,x,-z'
loop_
_atom_site_label
_atom_site_type_symbol
_atom_site_fract_x
_atom_site_fract_y
_atom_site_fract_z
Th1 Th 0.000 0.500 0.235
Mg1 Mg 0.000 0.000 0.500
Ni1 Ni 0.000 0.000 0.000
Ni2 Ni 0.000 0.500 0.647
Ni3 Ni 0.500 0.500 0.000
As1 As 0.000 0.500 0.875
As2 As 0.500 0.500 0.500



No. 4
# ThMgNi5As2, relaxed, DFT GGA-PBE
# Density of states at the Fermi level, states/eV/cell: 3.367
# Energy of formation from the pure elements, eV/atom: -0.486
data_ThMgNi5As2
_symmetry_space_group_name_H-M 'P 4/m m m'
_symmetry_Int_Tables_number 123
_symmetry_space_group_name_Hall '-P 4 2'
_cell_length_a 4.123
_cell_length_b 4.123
_cell_length_c 7.928
_cell_angle_alpha 90.00
_cell_angle_beta 90.00
_cell_angle_gamma 90.00
loop_
_atom_site_label
_atom_site_type_symbol
_atom_site_fract_x
_atom_site_fract_y
_atom_site_fract_z
Th1 Th 0.000 0.000 0.000
Mg1 Mg 0.000 0.000 0.500
Ni1 Ni 0.000 0.500 0.301
Ni2 Ni 0.500 0.500 0.500
As1 As 0.500 0.500 0.171